A relaxed Sr2ZrHgS5 crystal. Source: Alexandria, functional PBE.

Geometry as POSCAR:
```
Sr2ZrHgS5
1.0
3.9567 0.0000 0.0000
-1.9784 8.8307 0.0000
0.0000 0.0000 12.5194
Hg Sr S Zr
2 4 10 2
Cartesian
1.9784 0.6697 11.9244
0.0000 8.1610 5.6647
1.9784 6.8880 2.3148
0.0000 2.2847 3.8261
0.0000 1.9427 8.5745
1.9784 6.5461 10.0858
0.0000 6.3340 0.0486
0.0000 8.7639 9.6118
0.0000 4.9406 8.1863
1.9784 0.0668 3.3521
1.9784 2.4968 6.3083
1.9784 7.5628 7.1004
0.0000 1.2679 0.8407
0.0000 5.2543 4.6925
1.9784 3.8902 1.9266
1.9784 3.5765 10.9522
1.9784 5.0108 6.4287
0.0000 3.8199 0.1690
```

Results
Theoretical density, g cm⁻³: 4.763
Formation energy without anion corrections, meV/atom: -1467
V, Å³/atom: 24.302